Entry 1:
# TmLuNiHg (PBE, optimized geometry)
data_TmLuNiHg
_chemical_formula_sum 'Tm1 Lu1 Ni1 Hg1'
_symmetry_space_group_name_H-M 'P 1'
_symmetry_Int_Tables_number 1
_cell_length_a 4.958
_cell_length_b 4.958
_cell_length_c 4.958
_cell_angle_alpha 60.00
_cell_angle_beta 60.00
_cell_angle_gamma 60.00
loop_
_symmetry_equiv_pos_as_xyz
'x,y,z'
loop_
_atom_site_label
_atom_site_type_symbol
_atom_site_fract_x
_atom_site_fract_y
_atom_site_fract_z
Ni1 Ni 0.250 0.250 0.250
Lu1 Lu 0.500 0.500 0.500
Tm1 Tm 0.000 0.000 0.000
Hg1 Hg 0.750 0.750 0.750
# Magnetization: 0.00 μB per cell
# Formation energy from the elements: -0.3950 eV/atom

Entry 2:
# LuZnNiHg (PBE, optimized geometry)
data_LuZnNiHg
_chemical_formula_sum 'Lu1 Zn1 Ni1 Hg1'
_symmetry_space_group_name_H-M 'P 1'
_symmetry_Int_Tables_number 1
_cell_length_a 4.646
_cell_length_b 4.646
_cell_length_c 4.646
_cell_angle_alpha 60.00
_cell_angle_beta 60.00
_cell_angle_gamma 60.00
loop_
_symmetry_equiv_pos_as_xyz
'x,y,z'
loop_
_atom_site_label
_atom_site_type_symbol
_atom_site_fract_x
_atom_site_fract_y
_atom_site_fract_z
Ni1 Ni 0.250 0.250 0.250
Zn1 Zn 0.750 0.750 0.750
Lu1 Lu 0.000 0.000 0.000
Hg1 Hg 0.500 0.500 0.500
# Magnetization: 0.00 μB per cell
# Formation energy from the elements: -0.2144 eV/atom

Entry 3:
# LuZrNiHg (PBE, optimized geometry)
data_LuZrNiHg
_chemical_formula_sum 'Lu1 Zr1 Ni1 Hg1'
_symmetry_space_group_name_H-M 'P 1'
_symmetry_Int_Tables_number 1
_cell_length_a 4.867
_cell_length_b 4.867
_cell_length_c 4.867
_cell_angle_alpha 60.00
_cell_angle_beta 60.00
_cell_angle_gamma 60.00
loop_
_symmetry_equiv_pos_as_xyz
'x,y,z'
loop_
_atom_site_label
_atom_site_type_symbol
_atom_site_fract_x
_atom_site_fract_y
_atom_site_fract_z
Ni1 Ni 0.250 0.250 0.250
Lu1 Lu 0.000 0.000 0.000
Hg1 Hg 0.750 0.750 0.750
Zr1 Zr 0.500 0.500 0.500
# Magnetization: 0.00 μB per cell
# Formation energy from the elements: -0.2139 eV/atom

Entry 4:
# LuNpHgPb (PBE, optimized geometry)
data_LuNpHgPb
_chemical_formula_sum 'Lu1 Np1 Hg1 Pb1'
_symmetry_space_group_name_H-M 'P 1'
_symmetry_Int_Tables_number 1
_cell_length_a 5.314
_cell_length_b 5.314
_cell_length_c 5.314
_cell_angle_alpha 60.00
_cell_angle_beta 60.00
_cell_angle_gamma 60.00
loop_
_symmetry_equiv_pos_as_xyz
'x,y,z'
loop_
_atom_site_label
_atom_site_type_symbol
_atom_site_fract_x
_atom_site_fract_y
_atom_site_fract_z
Np1 Np 0.000 0.000 0.000
Pb1 Pb 0.250 0.250 0.250
Lu1 Lu 0.500 0.500 0.500
Hg1 Hg 0.750 0.750 0.750
# Magnetization: 5.29 μB per cell
# Formation energy from the elements: -0.0081 eV/atom